1.
A relaxed GeAsRhC2 crystal, computed with PBE.

a b c (Å): 3.884 5.486 3.884
angles (deg): 90.00 90.00 90.00
Atoms (fractional coordinates):
C: 0.000 0.000 0.500
C: 0.500 0.000 0.000
As: 0.000 0.500 0.000
Rh: 0.000 0.000 0.000
Ge: 0.500 0.500 0.500

symmetry	P4/mmm, No. 123
D(E_F)	2.53	states/eV per cell
ΔH_f (0 K)	1442	meV/atom
energy	-0.4095	Ry/atom

2.
A relaxed KPaPb2S4 crystal, computed with PBE.

a b c (Å): 5.822 5.822 7.737
angles (deg): 112.10 112.10 90.00
Last column: magnetic moment on the atom in μB.
Atoms (fractional coordinates):
K: 0.500 0.500 0.000  0.00
Pa: 0.750 0.250 0.500  0.93
Pb: 0.250 0.750 0.500  0.04
Pb: 0.000 0.000 0.000  0.00
S: 0.950 0.450 0.899  -0.02
S: 0.550 0.050 0.101  -0.02
S: 0.761 0.761 0.523  -0.02
S: 0.239 0.239 0.477  -0.02

symmetry	I-4m2, No. 119
D(E_F)	6.93	states/eV per cell
energy	-0.3834	Ry/atom
uncorrected formation energy	-0.901	eV/atom